A | A relaxed Sn2PbC crystal. Source: the Alexandria database, functional GGA-PBE.

Lattice parameters (Å, degrees): 9.198 5.881 3.410 90.00 91.74 90.00
Positions (direct):
Sn  0.175  0.000  0.013
Sn  0.325  0.500  0.987
Sn  0.675  0.500  0.013
Sn  0.825  0.000  0.987
Pb  0.000  0.473  0.500
Pb  0.500  0.973  0.500
C  0.000  0.049  0.500
C  0.500  0.549  0.500

Space group = No. 5
Density of states at the Fermi level = 0.434 states/eV/atom

=====

B | A relaxed Sn2PbC crystal. Source: the Alexandria database, functional GGA-PBE.

Lattice parameters (Å, degrees): 3.337 7.414 10.169 90.00 90.00 90.00
Positions (direct):
Sn  0.000  0.214  0.000
Sn  0.000  0.286  0.500
Sn  0.000  0.714  0.500
Sn  0.000  0.786  0.000
Pb  0.500  0.000  0.254
Pb  0.500  0.500  0.754
C  0.500  0.000  0.003
C  0.500  0.500  0.503

Space group = No. 38
Density of states at the Fermi level = 0.295 states/eV/atom

=====

C | A relaxed Sn2PbC crystal. Source: the Alexandria database, functional GGA-PBE.

Lattice parameters (Å, degrees): 3.528 3.596 15.532 90.00 90.00 90.00
Positions (direct):
Sn  0.000  0.000  0.000
Sn  0.000  0.500  0.500
Sn  0.500  0.000  0.329
Sn  0.500  0.500  0.829
Pb  0.000  0.000  0.673
Pb  0.000  0.500  0.173
C  0.500  0.000  0.915
C  0.500  0.500  0.415

Space group = No. 38
Density of states at the Fermi level = 0.378 states/eV/atom

=====

Most stable structure: C

=====

A | A relaxed Sn2PbC crystal. Source: the Alexandria database, functional GGA-PBE.

Lattice parameters (Å, degrees): 6.014 3.461 8.914 90.00 103.60 90.00
Positions (direct):
Sn  0.221  0.000  0.158
Sn  0.279  0.500  0.842
Sn  0.721  0.500  0.158
Sn  0.779  0.000  0.842
Pb  0.000  0.000  0.500
Pb  0.500  0.500  0.500
C  0.000  0.500  0.000
C  0.500  0.000  0.000

Space group = No. 12
Density of states at the Fermi level = 0.346 states/eV/atom

=====

B | A relaxed Sn2PbC crystal. Source: the Alexandria database, functional GGA-PBE.

Lattice parameters (Å, degrees): 7.228 7.228 7.228 90.00 90.00 90.00
Positions (direct):
Sn  0.250  0.250  0.250
Sn  0.250  0.250  0.750
Sn  0.250  0.750  0.250
Sn  0.250  0.750  0.750
Sn  0.750  0.250  0.250
Sn  0.750  0.250  0.750
Sn  0.750  0.750  0.250
Sn  0.750  0.750  0.750
Pb  0.000  0.000  0.000
Pb  0.000  0.500  0.500
Pb  0.500  0.000  0.500
Pb  0.500  0.500  0.000
C  0.000  0.000  0.500
C  0.000  0.500  0.000
C  0.500  0.000  0.000
C  0.500  0.500  0.500

Space group = No. 225
Density of states at the Fermi level = 0.752 states/eV/atom

=====

Most stable structure: A

=====

A | A relaxed Sn2PbC crystal. Source: the Alexandria database, functional GGA-PBE.

Lattice parameters (Å, degrees): 3.538 3.539 9.292 90.50 100.44 119.77
Positions (direct):
Sn  0.000  0.000  0.000
Sn  0.225  0.109  0.335
Pb  0.114  0.563  0.679
C  0.943  0.470  0.414

Space group = No. 1
Density of states at the Fermi level = 0.443 states/eV/atom

=====

B | A relaxed Sn2PbC crystal. Source: the Alexandria database, functional GGA-PBE.

Lattice parameters (Å, degrees): 3.494 3.497 9.695 82.38 81.90 60.30
Positions (direct):
Sn  0.000  0.000  0.000
Sn  0.260  0.279  0.314
Pb  0.064  0.039  0.677
C  0.310  0.315  0.085

Space group = No. 1
Density of states at the Fermi level = 0.275 states/eV/atom

=====

C | A relaxed Sn2PbC crystal. Source: the Alexandria database, functional GGA-PBE.

Lattice parameters (Å, degrees): 10.989 3.533 5.870 90.00 119.92 90.00
Positions (direct):
Sn  0.000  0.000  0.000
Sn  0.148  0.000  0.653
Sn  0.500  0.500  0.000
Sn  0.648  0.500  0.653
Pb  0.303  0.500  0.312
Pb  0.803  0.000  0.312
C  0.275  0.500  0.699
C  0.775  0.000  0.699

Space group = No. 8
Density of states at the Fermi level = 0.317 states/eV/atom

=====

Most stable structure: B

=====

A | A relaxed Sn2PbC crystal. Source: the Alexandria database, functional GGA-PBE.

Lattice parameters (Å, degrees): 6.253 3.348 9.164 90.00 93.61 90.00
Positions (direct):
Sn  0.000  0.000  0.000
Sn  0.248  0.000  0.308
Sn  0.500  0.500  0.000
Sn  0.748  0.500  0.308
Pb  0.241  0.000  0.649
Pb  0.741  0.500  0.649
C  0.050  0.500  0.187
C  0.550  0.000  0.187

Space group = No. 8
Density of states at the Fermi level = 0.357 states/eV/atom

=====

B | A relaxed Sn2PbC crystal. Source: the Alexandria database, functional GGA-PBE.

Lattice parameters (Å, degrees): 6.109 6.109 11.076 90.00 90.00 90.00
Positions (direct):
Sn  0.155  0.250  0.125
Sn  0.250  0.655  0.375
Sn  0.250  0.845  0.875
Sn  0.345  0.250  0.625
Sn  0.655  0.750  0.625
Sn  0.750  0.155  0.875
Sn  0.750  0.345  0.375
Sn  0.845  0.750  0.125
Pb  0.000  0.000  0.500
Pb  0.000  0.500  0.750
Pb  0.500  0.000  0.250
Pb  0.500  0.500  0.000
C  0.000  0.000  0.000
C  0.000  0.500  0.250
C  0.500  0.000  0.750
C  0.500  0.500  0.500

Space group = No. 122
Density of states at the Fermi level = 0.066 states/eV/atom

=====

Most stable structure: A

=====

A | A relaxed SnPb3C crystal. Source: the Alexandria database, functional GGA-PBE.

Lattice parameters (Å, degrees): 5.097 5.097 5.097 90.00 90.00 90.00
Positions (direct):
Sn  0.000  0.000  0.000
Pb  0.000  0.500  0.500
Pb  0.500  0.000  0.500
Pb  0.500  0.500  0.000
C  0.500  0.500  0.500

Space group = No. 221
Density of states at the Fermi level = 0.670 states/eV/atom

=====

B | A relaxed SnPb3C crystal. Source: the Alexandria database, functional GGA-PBE.

Lattice parameters (Å, degrees): 5.886 5.886 5.886 90.00 90.00 90.00
Positions (direct):
Sn  0.000  0.000  0.000
Pb  0.000  0.000  0.500
Pb  0.000  0.500  0.000
Pb  0.500  0.000  0.000
C  0.500  0.500  0.500

Space group = No. 221
Density of states at the Fermi level = 0.544 states/eV/atom

=====

Most stable structure: A

=====

A | A relaxed SnPb2C crystal. Source: the Alexandria database, functional GGA-PBE.

Lattice parameters (Å, degrees): 7.320 7.320 7.320 90.00 90.00 90.00
Positions (direct):
Sn  0.000  0.000  0.000
Sn  0.000  0.500  0.500
Sn  0.500  0.000  0.500
Sn  0.500  0.500  0.000
Pb  0.250  0.250  0.250
Pb  0.250  0.250  0.750
Pb  0.250  0.750  0.250
Pb  0.250  0.750  0.750
Pb  0.750  0.250  0.250
Pb  0.750  0.250  0.750
Pb  0.750  0.750  0.250
Pb  0.750  0.750  0.750
C  0.000  0.000  0.500
C  0.000  0.500  0.000
C  0.500  0.000  0.000
C  0.500  0.500  0.500

Space group = No. 225
Density of states at the Fermi level = 0.693 states/eV/atom

=====

B | A relaxed SnPb2C crystal. Source: the Alexandria database, functional GGA-PBE.

Lattice parameters (Å, degrees): 6.261 6.261 11.521 90.00 90.00 90.00
Positions (direct):
Sn  0.000  0.000  0.000
Sn  0.000  0.500  0.250
Sn  0.500  0.000  0.750
Sn  0.500  0.500  0.500
Pb  0.170  0.250  0.625
Pb  0.250  0.670  0.875
Pb  0.250  0.830  0.375
Pb  0.330  0.250  0.125
Pb  0.670  0.750  0.125
Pb  0.750  0.170  0.375
Pb  0.750  0.330  0.875
Pb  0.830  0.750  0.625
C  0.000  0.000  0.500
C  0.000  0.500  0.750
C  0.500  0.000  0.250
C  0.500  0.500  0.000

Space group = No. 122
Density of states at the Fermi level = 0.151 states/eV/atom

=====

Most stable structure: B

=====

A | A relaxed Sn3PbC crystal. Source: the Alexandria database, functional GGA-PBE.

Lattice parameters (Å, degrees): 4.929 4.929 4.929 90.00 90.00 90.00
Positions (direct):
Sn  0.000  0.000  0.500
Sn  0.000  0.500  0.000
Sn  0.500  0.000  0.000
Pb  0.500  0.500  0.500
C  0.000  0.000  0.000

Space group = No. 221
Density of states at the Fermi level = 0.681 states/eV/atom

=====

B | A relaxed Sn3PbC crystal. Source: the Alexandria database, functional GGA-PBE.

Lattice parameters (Å, degrees): 5.860 5.860 5.860 90.00 90.00 90.00
Positions (direct):
Sn  0.000  0.000  0.500
Sn  0.000  0.500  0.000
Sn  0.500  0.000  0.000
Pb  0.000  0.000  0.000
C  0.500  0.500  0.500

Space group = No. 221
Density of states at the Fermi level = 0.661 states/eV/atom

=====

Most stable structure: A

=====

A | A relaxed SrPbC3 crystal. Source: the Alexandria database, functional GGA-PBE.

Lattice parameters (Å, degrees): 4.560 4.560 4.560 90.00 90.00 90.00
Positions (direct):
Sr  0.000  0.000  0.000
Pb  0.500  0.500  0.500
C  0.000  0.500  0.500
C  0.500  0.000  0.500
C  0.500  0.500  0.000

Space group = No. 221
Density of states at the Fermi level = 0.820 states/eV/atom

=====

B | A relaxed SrPbC3 crystal. Source: the Alexandria database, functional GGA-PBE.

Lattice parameters (Å, degrees): 4.722 4.722 4.722 90.00 90.00 90.00
Positions (direct):
Sr  0.000  0.000  0.000
Pb  0.500  0.500  0.500
C  0.000  0.000  0.500
C  0.000  0.500  0.000
C  0.500  0.000  0.000

Space group = No. 221
Density of states at the Fermi level = 0.885 states/eV/atom

=====

Most stable structure: A

=====

A | A relaxed TcPb2C crystal. Source: the Alexandria database, functional GGA-PBE.

Lattice parameters (Å, degrees): 6.738 6.738 6.738 90.00 90.00 90.00
Positions (direct):
Tc  0.000  0.000  0.000
Tc  0.000  0.500  0.500
Tc  0.500  0.000  0.500
Tc  0.500  0.500  0.000
Pb  0.250  0.250  0.250
Pb  0.250  0.250  0.750
Pb  0.250  0.750  0.250
Pb  0.250  0.750  0.750
Pb  0.750  0.250  0.250
Pb  0.750  0.250  0.750
Pb  0.750  0.750  0.250
Pb  0.750  0.750  0.750
C  0.000  0.000  0.500
C  0.000  0.500  0.000
C  0.500  0.000  0.000
C  0.500  0.500  0.500

Space group = No. 225
Density of states at the Fermi level = 0.777 states/eV/atom

=====

B | A relaxed TcPb2C crystal. Source: the Alexandria database, functional GGA-PBE.

Lattice parameters (Å, degrees): 6.943 6.943 6.618 90.00 90.00 90.00
Positions (direct):
Tc  0.000  0.000  0.000
Tc  0.000  0.500  0.250
Tc  0.500  0.000  0.750
Tc  0.500  0.500  0.500
Pb  0.194  0.750  0.625
Pb  0.250  0.194  0.375
Pb  0.250  0.306  0.875
Pb  0.306  0.750  0.125
Pb  0.694  0.250  0.125
Pb  0.750  0.694  0.875
Pb  0.750  0.806  0.375
Pb  0.806  0.250  0.625
C  0.000  0.000  0.500
C  0.000  0.500  0.750
C  0.500  0.000  0.250
C  0.500  0.500  0.000

Space group = No. 122
Density of states at the Fermi level = 1.020 states/eV/atom

=====

Most stable structure: B

=====

A | A relaxed TcPb3C crystal. Source: the Alexandria database, functional GGA-PBE.

Lattice parameters (Å, degrees): 5.296 5.296 5.296 90.00 90.00 90.00
Positions (direct):
Tc  0.000  0.000  0.000
Pb  0.000  0.000  0.500
Pb  0.000  0.500  0.000
Pb  0.500  0.000  0.000
C  0.500  0.500  0.500

Space group = No. 221
Density of states at the Fermi level = 0.001 states/eV/atom

=====

B | A relaxed TcPb3C crystal. Source: the Alexandria database, functional GGA-PBE.

Lattice parameters (Å, degrees): 4.905 4.905 4.905 90.00 90.00 90.00
Positions (direct):
Tc  0.000  0.000  0.000
Pb  0.000  0.500  0.500
Pb  0.500  0.000  0.500
Pb  0.500  0.500  0.000
C  0.500  0.500  0.500

Space group = No. 221
Density of states at the Fermi level = 1.018 states/eV/atom

=====

Most stable structure: A

=====

A | A relaxed Te2PbC crystal. Source: the Alexandria database, functional GGA-PBE.

Lattice parameters (Å, degrees): 5.087 5.087 21.179 90.00 90.00 120.00
Positions (direct):
Te  0.000  0.000  0.092
Te  0.000  0.000  0.908
Te  0.333  0.667  0.575
Te  0.333  0.667  0.759
Te  0.667  0.333  0.241
Te  0.667  0.333  0.425
Pb  0.000  0.000  0.500
Pb  0.333  0.667  0.167
Pb  0.667  0.333  0.833
C  0.000  0.000  0.000
C  0.333  0.667  0.667
C  0.667  0.333  0.333

Space group = No. 166
Density of states at the Fermi level = 0.883 states/eV/atom

=====

B | A relaxed Te2PbC crystal. Source: the Alexandria database, functional GGA-PBE.

Lattice parameters (Å, degrees): 3.976 3.976 21.641 90.00 90.00 120.00
Positions (direct):
Te  0.000  0.000  0.228
Te  0.000  0.000  0.772
Te  0.333  0.667  0.439
Te  0.333  0.667  0.894
Te  0.667  0.333  0.106
Te  0.667  0.333  0.561
Pb  0.000  0.000  0.000
Pb  0.333  0.667  0.667
Pb  0.667  0.333  0.333
C  0.000  0.000  0.500
C  0.333  0.667  0.167
C  0.667  0.333  0.833

Space group = No. 166
Density of states at the Fermi level = 0.122 states/eV/atom

=====

C | A relaxed Te2PbC crystal. Source: the Alexandria database, functional GGA-PBE.

Lattice parameters (Å, degrees): 7.144 7.144 8.595 90.00 90.00 90.00
Positions (direct):
Te  0.144  0.250  0.125
Te  0.250  0.644  0.375
Te  0.250  0.856  0.875
Te  0.356  0.250  0.625
Te  0.644  0.750  0.625
Te  0.750  0.144  0.875
Te  0.750  0.356  0.375
Te  0.856  0.750  0.125
Pb  0.000  0.000  0.500
Pb  0.000  0.500  0.750
Pb  0.500  0.000  0.250
Pb  0.500  0.500  0.000
C  0.000  0.000  0.000
C  0.000  0.500  0.250
C  0.500  0.000  0.750
C  0.500  0.500  0.500

Space group = No. 122
Density of states at the Fermi level = 0.253 states/eV/atom

=====

D | A relaxed Te2PbC crystal. Source: the Alexandria database, functional GGA-PBE.

Lattice parameters (Å, degrees): 7.356 7.356 7.356 90.00 90.00 90.00
Positions (direct):
Te  0.250  0.250  0.250
Te  0.250  0.250  0.750
Te  0.250  0.750  0.250
Te  0.250  0.750  0.750
Te  0.750  0.250  0.250
Te  0.750  0.250  0.750
Te  0.750  0.750  0.250
Te  0.750  0.750  0.750
Pb  0.000  0.000  0.000
Pb  0.000  0.500  0.500
Pb  0.500  0.000  0.500
Pb  0.500  0.500  0.000
C  0.000  0.000  0.500
C  0.000  0.500  0.000
C  0.500  0.000  0.000
C  0.500  0.500  0.500

Space group = No. 225
Density of states at the Fermi level = 0.695 states/eV/atom

=====

Most stable structure: C